The following is a meta-GGA SCAN calculation of a crystal of TlZnHgH2 relaxed with PBEsol, from the Alexandria database.

a b c (Å): 3.8606 3.8606 5.6744
angles (deg): 90.00 90.00 90.00
With the nearest neighbours (Å) after each atom.
Fractional positions:
Tl 0.0000 0.0000 0.0000  4 H 1.93
Zn 0.0000 0.0000 0.5000  4 Hg 2.73, 2 Tl 2.84
Hg 0.5000 0.5000 0.5000  4 Zn 2.73
H 0.0000 0.5000 0.0000  2 Tl 1.93
H 0.5000 0.0000 0.0000  2 Tl 1.93

Calculated values
**Fermi-level density of states**: 1.14 states/eV per cell
**Crystal system**: tetragonal
**Space-group type**: P4/mmm, No. 123
**Total moment**: 0.0 μB/f.u.
**Total energy**: -158.9 eV for the cell shown